# 1
# PBE-GGA Na2TiSi2, relaxed
data_Na2TiSi2
_chemical_formula_sum 'Na4 Ti2 Si4'
_space_group_name_H-M_alt 'P 1'
_space_group_IT_number 1
_cell_length_a 6.692
_cell_length_b 6.692
_cell_length_c 4.844
_cell_angle_alpha 90.00
_cell_angle_beta 90.00
_cell_angle_gamma 90.00
loop_
_space_group_symop_operation_xyz
'x,y,z'
loop_
_atom_site_label
_atom_site_type_symbol
_atom_site_fract_x
_atom_site_fract_y
_atom_site_fract_z
_atom_site_occupancy
Na1 Na 0.174 0.326 0.000 1
Na2 Na 0.326 0.826 0.000 1
Na3 Na 0.674 0.174 0.000 1
Na4 Na 0.826 0.674 0.000 1
Ti1 Ti 0.000 0.000 0.500 1
Ti2 Ti 0.500 0.500 0.500 1
Si1 Si 0.126 0.626 0.500 1
Si2 Si 0.374 0.126 0.500 1
Si3 Si 0.626 0.874 0.500 1
Si4 Si 0.874 0.374 0.500 1
# E_tot (eV per atom): -4.064

---

# 2
# PBE-GGA NaTiVSi2, relaxed
data_NaTiVSi2
_chemical_formula_sum 'Na1 Ti1 V1 Si2'
_space_group_name_H-M_alt 'P 1'
_space_group_IT_number 1
_cell_length_a 4.522
_cell_length_b 4.522
_cell_length_c 4.657
_cell_angle_alpha 90.00
_cell_angle_beta 90.00
_cell_angle_gamma 90.00
loop_
_space_group_symop_operation_xyz
'x,y,z'
loop_
_atom_site_label
_atom_site_type_symbol
_atom_site_fract_x
_atom_site_fract_y
_atom_site_fract_z
_atom_site_occupancy
Na1 Na 0.000 0.000 0.000 1
Ti1 Ti 0.500 0.500 0.000 1
V1 V 0.000 0.000 0.500 1
Si1 Si 0.000 0.500 0.500 1
Si2 Si 0.500 0.000 0.500 1
# E_tot (eV per atom): -4.973

---

# 3
# PBE-GGA NaTl2Si, relaxed
data_NaTl2Si
_chemical_formula_sum 'Na2 Tl4 Si2'
_space_group_name_H-M_alt 'P 1'
_space_group_IT_number 1
_cell_length_a 6.851
_cell_length_b 6.851
_cell_length_c 6.851
_cell_angle_alpha 101.11
_cell_angle_beta 101.11
_cell_angle_gamma 127.92
loop_
_space_group_symop_operation_xyz
'x,y,z'
loop_
_atom_site_label
_atom_site_type_symbol
_atom_site_fract_x
_atom_site_fract_y
_atom_site_fract_z
_atom_site_occupancy
Na1 Na 0.000 0.000 0.000 1
Na2 Na 0.750 0.250 0.500 1
Tl1 Tl 0.195 0.125 0.570 1
Tl2 Tl 0.375 0.805 0.930 1
Tl3 Tl 0.555 0.625 0.430 1
Tl4 Tl 0.875 0.445 0.070 1
Si1 Si 0.250 0.750 0.500 1
Si2 Si 0.500 0.500 0.000 1
# Energy relative to the lowest polymorph listed for this composition (kJ/mol of formula units): 10

---

# 4
# PBE-GGA NaTlSi, relaxed
data_NaTlSi
_chemical_formula_sum 'Na2 Tl2 Si2'
_space_group_name_H-M_alt 'P 1'
_space_group_IT_number 1
_cell_length_a 6.377
_cell_length_b 6.377
_cell_length_c 7.276
_cell_angle_alpha 105.82
_cell_angle_beta 105.82
_cell_angle_gamma 34.14
loop_
_space_group_symop_operation_xyz
'x,y,z'
loop_
_atom_site_label
_atom_site_type_symbol
_atom_site_fract_x
_atom_site_fract_y
_atom_site_fract_z
_atom_site_occupancy
Na1 Na 0.000 0.000 0.000 1
Na2 Na 0.214 0.214 0.757 1
Tl1 Tl 0.335 0.335 0.235 1
Tl2 Tl 0.626 0.626 0.360 1
Si1 Si 0.489 0.489 0.644 1
Si2 Si 0.866 0.866 0.584 1
# E_tot (eV per atom): -2.985

---

# 5
# PBE-GGA NaTlSi, relaxed
data_NaTlSi
_chemical_formula_sum 'Na2 Tl2 Si2'
_space_group_name_H-M_alt 'P 1'
_space_group_IT_number 1
_cell_length_a 4.693
_cell_length_b 4.693
_cell_length_c 7.596
_cell_angle_alpha 90.00
_cell_angle_beta 90.00
_cell_angle_gamma 120.00
loop_
_space_group_symop_operation_xyz
'x,y,z'
loop_
_atom_site_label
_atom_site_type_symbol
_atom_site_fract_x
_atom_site_fract_y
_atom_site_fract_z
_atom_site_occupancy
Na1 Na 0.000 0.000 0.000 1
Na2 Na 0.000 0.000 0.500 1
Tl1 Tl 0.667 0.333 0.214 1
Tl2 Tl 0.667 0.333 0.786 1
Si1 Si 0.333 0.667 0.337 1
Si2 Si 0.333 0.667 0.663 1
# E_tot (eV per atom): -2.916

---

# 6
# PBE-GGA NaTlSi, relaxed
data_NaTlSi
_chemical_formula_sum 'Na2 Tl2 Si2'
_space_group_name_H-M_alt 'P 1'
_space_group_IT_number 1
_cell_length_a 3.792
_cell_length_b 3.792
_cell_length_c 12.829
_cell_angle_alpha 90.00
_cell_angle_beta 90.00
_cell_angle_gamma 120.00
loop_
_space_group_symop_operation_xyz
'x,y,z'
loop_
_atom_site_label
_atom_site_type_symbol
_atom_site_fract_x
_atom_site_fract_y
_atom_site_fract_z
_atom_site_occupancy
Na1 Na 0.000 0.000 0.000 1
Na2 Na 0.333 0.667 0.600 1
Tl1 Tl 0.333 0.667 0.200 1
Tl2 Tl 0.667 0.333 0.401 1
Si1 Si 0.333 0.667 0.837 1
Si2 Si 0.667 0.333 0.774 1
# E_tot (eV per atom): -3.031

---

# 7
# PBE-GGA NaTlSi, relaxed
data_NaTlSi
_chemical_formula_sum 'Na2 Tl2 Si2'
_space_group_name_H-M_alt 'P 1'
_space_group_IT_number 1
_cell_length_a 4.590
_cell_length_b 3.744
_cell_length_c 9.452
_cell_angle_alpha 90.00
_cell_angle_beta 103.97
_cell_angle_gamma 90.00
loop_
_space_group_symop_operation_xyz
'x,y,z'
loop_
_atom_site_label
_atom_site_type_symbol
_atom_site_fract_x
_atom_site_fract_y
_atom_site_fract_z
_atom_site_occupancy
Na1 Na 0.000 0.000 0.000 1
Na2 Na 0.203 0.000 0.408 1
Tl1 Tl 0.605 0.500 0.212 1
Tl2 Tl 0.815 0.500 0.628 1
Si1 Si 0.375 0.000 0.746 1
Si2 Si 0.450 0.500 0.899 1
# E_tot (eV per atom): -2.995

---

# 8
# PBE-GGA NaTlSi, relaxed
data_NaTlSi
_chemical_formula_sum 'Na2 Tl2 Si2'
_space_group_name_H-M_alt 'P 1'
_space_group_IT_number 1
_cell_length_a 5.919
_cell_length_b 5.919
_cell_length_c 8.074
_cell_angle_alpha 112.75
_cell_angle_beta 112.75
_cell_angle_gamma 37.05
loop_
_space_group_symop_operation_xyz
'x,y,z'
loop_
_atom_site_label
_atom_site_type_symbol
_atom_site_fract_x
_atom_site_fract_y
_atom_site_fract_z
_atom_site_occupancy
Na1 Na 0.000 0.000 0.000 1
Na2 Na 0.674 0.674 0.396 1
Tl1 Tl 0.215 0.215 0.793 1
Tl2 Tl 0.444 0.444 0.629 1
Si1 Si 0.313 0.313 0.195 1
Si2 Si 0.943 0.943 0.330 1
# E_tot (eV per atom): -2.972

---

# 9
# PBE-GGA NaTlSi, relaxed
data_NaTlSi
_chemical_formula_sum 'Na2 Tl2 Si2'
_space_group_name_H-M_alt 'P 1'
_space_group_IT_number 1
_cell_length_a 4.850
_cell_length_b 3.834
_cell_length_c 8.571
_cell_angle_alpha 90.00
_cell_angle_beta 105.57
_cell_angle_gamma 90.00
loop_
_space_group_symop_operation_xyz
'x,y,z'
loop_
_atom_site_label
_atom_site_type_symbol
_atom_site_fract_x
_atom_site_fract_y
_atom_site_fract_z
_atom_site_occupancy
Na1 Na 0.088 0.250 0.181 1
Na2 Na 0.912 0.750 0.819 1
Tl1 Tl 0.287 0.250 0.575 1
Tl2 Tl 0.713 0.750 0.425 1
Si1 Si 0.464 0.250 0.920 1
Si2 Si 0.536 0.750 0.080 1
# E_tot (eV per atom): -3.028

---

# 10
# PBE-GGA NaTlSi, relaxed
data_NaTlSi
_chemical_formula_sum 'Na2 Tl2 Si2'
_space_group_name_H-M_alt 'P 1'
_space_group_IT_number 1
_cell_length_a 5.893
_cell_length_b 3.738
_cell_length_c 7.706
_cell_angle_alpha 90.00
_cell_angle_beta 111.95
_cell_angle_gamma 90.00
loop_
_space_group_symop_operation_xyz
'x,y,z'
loop_
_atom_site_label
_atom_site_type_symbol
_atom_site_fract_x
_atom_site_fract_y
_atom_site_fract_z
_atom_site_occupancy
Na1 Na 0.000 0.000 0.000 1
Na2 Na 0.229 0.000 0.462 1
Tl1 Tl 0.423 0.500 0.860 1
Tl2 Tl 0.792 0.500 0.603 1
Si1 Si 0.559 0.000 0.229 1
Si2 Si 0.807 0.500 0.232 1
# E_tot (eV per atom): -2.979

---

# 11
# PBE-GGA NaTlSi, relaxed
data_NaTlSi
_chemical_formula_sum 'Na2 Tl2 Si2'
_space_group_name_H-M_alt 'P 1'
_space_group_IT_number 1
_cell_length_a 3.696
_cell_length_b 6.743
_cell_length_c 7.610
_cell_angle_alpha 66.18
_cell_angle_beta 76.00
_cell_angle_gamma 74.10
loop_
_space_group_symop_operation_xyz
'x,y,z'
loop_
_atom_site_label
_atom_site_type_symbol
_atom_site_fract_x
_atom_site_fract_y
_atom_site_fract_z
_atom_site_occupancy
Na1 Na 0.000 0.000 0.000 1
Na2 Na 0.320 0.631 0.734 1
Tl1 Tl 0.297 0.087 0.318 1
Tl2 Tl 0.595 0.553 0.257 1
Si1 Si 0.037 0.330 0.597 1
Si2 Si 0.638 0.081 0.644 1
# E_tot (eV per atom): -2.952

---

# 12
# PBE-GGA NaTlSi, relaxed
data_NaTlSi
_chemical_formula_sum 'Na2 Tl2 Si2'
_space_group_name_H-M_alt 'P 1'
_space_group_IT_number 1
_cell_length_a 4.485
_cell_length_b 5.842
_cell_length_c 6.874
_cell_angle_alpha 74.94
_cell_angle_beta 71.09
_cell_angle_gamma 67.81
loop_
_space_group_symop_operation_xyz
'x,y,z'
loop_
_atom_site_label
_atom_site_type_symbol
_atom_site_fract_x
_atom_site_fract_y
_atom_site_fract_z
_atom_site_occupancy
Na1 Na 0.000 0.000 0.000 1
Na2 Na 0.232 0.092 0.443 1
Tl1 Tl 0.404 0.434 0.752 1
Tl2 Tl 0.646 0.524 0.182 1
Si1 Si 0.708 0.837 0.741 1
Si2 Si 0.945 0.678 0.432 1
# E_tot (eV per atom): -2.907